[1]
# BaLiTlAu2

A relaxed structure of BaLiTlAu2 (GGA-PBE, Alexandria).

POSCAR file:
```
BaLiTlAu2
1.0
5.104 0.000 0.000
0.000 5.104 0.000
0.000 0.000 5.012
Ba Li Tl Au
1 1 1 2
direct
0.000 0.000 0.000
0.500 0.500 0.500
0.500 0.500 0.000
0.000 0.500 0.500
0.500 0.000 0.500
```

Properties
The energy comes out at -2.910 eV/atom. For the energy relative to the lowest polymorph listed for this composition, the calculation gives 0.85 eV/f.u. The energy relative to the elements is -0.3582 eV/atom. The calculation puts the calculated volume at 130.59 Å³/f.u.

[2]
# SmTlPt

A relaxed structure of SmTlPt (GGA-PBE, Alexandria).

POSCAR file:
```
SmTlPt
1.0
3.812 0.000 0.000
0.000 3.812 0.000
0.000 0.000 9.866
Sm Tl Pt
2 2 2
direct
0.000 0.000 0.000
0.500 0.500 0.500
0.000 0.000 0.691
0.500 0.500 0.191
0.000 0.000 0.360
0.500 0.500 0.860
```

Properties
The energy comes out at -4.970 eV/atom. The energy relative to the elements is -0.5942 eV/atom. The calculation puts the calculated volume at 71.70 Å³/f.u.

[3]
# CeZr2In3

A relaxed structure of CeZr2In3 (GGA-PBE, Alexandria).

POSCAR file:
```
CeZr2In3
1.0
3.201 0.000 0.000
0.000 3.201 0.000
0.000 0.000 13.755
Ce Zr In
1 2 3
direct
0.000 0.000 0.000
0.000 0.000 0.342
0.000 0.000 0.658
0.500 0.500 0.182
0.500 0.500 0.500
0.500 0.500 0.818
```

Properties
The energy comes out at -5.537 eV/atom. The energy relative to the elements is -0.3292 eV/atom. The calculation puts the calculated volume at 140.90 Å³/f.u.

[4]
# InAs2CSe

A relaxed structure of InAs2CSe (GGA-PBE, Alexandria).

POSCAR file:
```
InAs2CSe
1.0
5.371 0.000 0.000
0.000 5.371 0.000
0.000 0.000 5.433
In As C Se
1 2 1 1
direct
0.000 0.000 0.000
0.000 0.500 0.000
0.500 0.000 0.000
0.500 0.500 0.500
0.000 0.000 0.500
```

Properties
The energy comes out at -2.719 eV/atom. For the energy relative to the lowest polymorph listed for this composition, the calculation gives 6.43 eV/f.u. The calculation puts the calculated volume at 156.72 Å³/f.u.

[5]
# Ac8IrPd3

A relaxed structure of Ac8IrPd3 (GGA-PBE, Alexandria).

POSCAR file:
```
Ac8IrPd3
1.0
4.474 2.583 6.735
-4.474 2.583 6.735
0.000 -5.166 6.735
Ac Ir Pd
8 1 3
direct
0.246 0.246 0.246
0.257 0.741 0.741
0.259 0.259 0.743
0.259 0.743 0.259
0.741 0.257 0.741
0.741 0.741 0.257
0.743 0.259 0.259
0.754 0.754 0.754
0.500 0.500 0.500
0.000 0.000 0.500
0.000 0.500 0.000
0.500 0.000 0.000
```

Properties
The energy comes out at -5.298 eV/atom. The energy relative to the elements is -0.5222 eV/atom. The calculation puts the calculated volume at 467.10 Å³/f.u.

[6]
# KMnTe2

A relaxed structure of KMnTe2 (GGA-PBE, Alexandria).

POSCAR file:
```
KMnTe2
1.0
4.418 0.000 0.000
0.000 4.296 0.000
0.000 0.000 15.325
K Mn Te
2 2 4
direct
0.000 0.000 0.000
0.000 0.500 0.500
0.500 0.000 0.221
0.500 0.500 0.721
0.000 0.000 0.315
0.000 0.500 0.815
0.500 0.000 0.619
0.500 0.500 0.119
```

Properties
The energy comes out at -4.565 eV/atom. The calculation puts the calculated volume at 145.43 Å³/f.u.

[7]
# Tc2TePbO8

A relaxed structure of Tc2TePbO8 (GGA-PBE, Alexandria).

POSCAR file:
```
Tc2TePbO8
1.0
3.623 -3.465 0.000
3.623 3.465 0.000
-0.313 0.000 6.505
Tc Te Pb O
2 1 1 8
direct
0.013 0.013 0.257
0.987 0.987 0.743
0.500 0.500 0.500
0.500 0.500 0.000
0.160 0.160 0.024
0.197 0.197 0.490
0.237 0.697 0.275
0.303 0.763 0.725
0.697 0.237 0.275
0.763 0.303 0.725
0.803 0.803 0.510
0.840 0.840 0.976
```

Properties
The energy comes out at -6.656 eV/atom. The calculation puts the calculated volume at 163.33 Å³/f.u.

[8]
# LaSm15Sc4

A relaxed structure of LaSm15Sc4 (GGA-PBE, Alexandria).

POSCAR file:
```
LaSm15Sc4
1.0
5.033 0.000 0.000
0.000 5.033 0.000
0.000 0.000 25.174
La Sm Sc
1 15 4
direct
0.000 0.000 0.000
0.000 0.500 0.106
0.000 0.500 0.303
0.000 0.500 0.500
0.000 0.500 0.697
0.000 0.500 0.894
0.500 0.000 0.106
0.500 0.000 0.303
0.500 0.000 0.500
0.500 0.000 0.697
0.500 0.000 0.894
0.500 0.500 0.000
0.500 0.500 0.205
0.500 0.500 0.401
0.500 0.500 0.599
0.500 0.500 0.795
0.000 0.000 0.204
0.000 0.000 0.401
0.000 0.000 0.599
0.000 0.000 0.796
```

Properties
The energy comes out at -5.015 eV/atom. The energy relative to the elements is 0.0368 eV/atom. The calculation puts the calculated volume at 637.78 Å³/f.u.

[9]
# B3TeN

A relaxed structure of B3TeN (GGA-PBE, Alexandria).

POSCAR file:
```
B3TeN
1.0
4.380 0.000 0.000
0.000 4.380 0.000
0.000 0.000 4.380
B Te N
3 1 1
direct
0.000 0.000 0.500
0.000 0.500 0.000
0.500 0.000 0.000
0.000 0.000 0.000
0.500 0.500 0.500
```

Properties
The energy comes out at -3.052 eV/atom. For the energy relative to the lowest polymorph listed for this composition, the calculation gives 6.51 eV/f.u. The calculation puts the calculated volume at 84.00 Å³/f.u.

[10]
# EuPd3

A relaxed structure of EuPd3 (GGA-PBE, Alexandria).

POSCAR file:
```
EuPd3
1.0
6.698 0.000 0.000
0.000 6.698 0.000
0.000 0.000 6.698
Eu Pd
4 12
direct
0.000 0.000 0.000
0.000 0.500 0.500
0.500 0.000 0.500
0.500 0.500 0.000
0.000 0.000 0.500
0.000 0.500 0.000
0.250 0.250 0.250
0.250 0.250 0.750
0.250 0.750 0.250
0.250 0.750 0.750
0.500 0.000 0.000
0.500 0.500 0.500
0.750 0.250 0.250
0.750 0.250 0.750
0.750 0.750 0.250
0.750 0.750 0.750
```

Properties
The energy comes out at -6.896 eV/atom. For the energy relative to the lowest polymorph listed for this composition, the calculation gives 0.35 eV/f.u. The energy relative to the elements is -0.4330 eV/atom. The calculation puts the calculated volume at 75.12 Å³/f.u.